No. 1
ScTaGaGe2 after structural relaxation, computed with GGA-PBE.

Structure (POSCAR):
```
ScTaGaGe2
1.0
5.043 0.000 0.000
0.000 5.043 0.000
0.000 0.000 4.963
Sc Ta Ga Ge
1 1 1 2
Cartesian
0.000 0.000 0.000
0.000 0.000 2.481
2.521 2.521 2.481
0.000 2.521 0.000
2.521 0.000 0.000
```

## Properties
theoretical density = 5.8 g/cm³
E_form = 1.15 eV per atom
total magnetization = 0.0 Bohr magnetons per cell
SG = No. 123

No. 2
YScGaGe after structural relaxation, computed with GGA-PBE.

Structure (POSCAR):
```
YScGaGe
1.0
3.926 0.000 0.000
0.000 2.100 5.252
0.000 -2.100 5.252
Y Sc Ga Ge
1 1 1 1
Cartesian
0.000 0.000 0.000
1.963 0.000 7.588
1.963 0.000 4.614
0.000 0.000 2.910
```

## Properties
theoretical density = 5.3 g/cm³
E_form = -0.76 eV per atom
total magnetization = 0.0 Bohr magnetons per cell
SG = No. 38

No. 3
ScZnGaGe after structural relaxation, computed with GGA-PBE.

Structure (POSCAR):
```
ScZnGaGe
1.0
3.977 0.000 0.000
0.000 4.039 0.000
0.000 0.000 4.298
Sc Zn Ga Ge
1 1 1 1
Cartesian
0.000 0.000 0.000
0.000 2.020 2.149
1.989 0.000 2.149
1.989 2.020 0.000
```

## Properties
theoretical density = 6.1 g/cm³
E_form = -0.44 eV per atom
total magnetization = 0.0 Bohr magnetons per cell
SG = No. 47

No. 4
ZrScGa2Ge after structural relaxation, computed with GGA-PBE.

Structure (POSCAR):
```
ZrScGa2Ge
1.0
5.083 0.000 0.000
0.000 5.083 0.000
0.000 0.000 4.978
Zr Sc Ga Ge
1 1 2 1
Cartesian
0.000 0.000 0.000
0.000 0.000 2.489
0.000 2.542 2.489
2.542 0.000 2.489
2.542 2.542 0.000
```

## Properties
theoretical density = 4.5 g/cm³
E_form = 0.81 eV per atom
total magnetization = 0.0 Bohr magnetons per cell
SG = No. 123

No. 5
GaGe2Se6 after structural relaxation, computed with GGA-PBE.

Structure (POSCAR):
```
GaGe2Se6
1.0
6.325 -6.896 0.000
6.325 6.896 0.000
-2.524 0.000 5.891
Ga Ge Se
2 4 12
Cartesian
4.432 4.112 4.418
5.694 -4.112 1.473
1.986 1.067 3.756
3.248 -1.067 0.810
6.879 1.067 5.081
8.141 -1.067 2.135
4.190 5.624 2.462
2.401 2.989 5.116
7.198 5.624 0.484
3.551 1.043 1.942
6.463 2.989 3.720
2.289 -1.043 4.887
7.838 1.043 1.004
3.663 -2.989 2.171
6.576 -1.043 3.949
2.928 -5.624 5.407
7.725 -2.989 0.775
5.936 -5.624 3.429
```

## Properties
theoretical density = 4.5 g/cm³
formation energy (no corrections) = -0.24 eV/atom
total magnetization = 0.0 Bohr magnetons per cell
SG = No. 15

No. 6
GaGeSe2 after structural relaxation, computed with GGA-PBE.

Structure (POSCAR):
```
GaGeSe2
1.0
1.830 1.057 8.412
-1.830 1.057 8.412
0.000 -2.113 8.412
Ga Ge Se
1 1 2
Cartesian
0.000 0.000 0.000
0.000 0.000 12.618
0.000 0.000 9.901
0.000 0.000 15.335
```

## Properties
theoretical density = 5.1 g/cm³
formation energy (no corrections) = -0.05 eV/atom
total magnetization = 0.0 Bohr magnetons per cell
SG = No. 166